An optimized crystal structure of Ho2Tm2Pb2C. Source: the Alexandria database, functional PBE.

Values from the calculation:
Magnetic moment: 0.00 μB per formula unit
Formation energy: -0.58 eV per atom
Final energy: -5.55 eV/atom

Lattice parameters (Å, degrees): 8.6792 8.6792 8.6792 148.16 148.16 45.64
With the nearest neighbours (Å) after each atom.
Positions (direct):
1 Ho 0.1566 0.1566 0.0000  1 C 2.51
2 Ho 0.8434 0.8434 0.0000  1 C 2.51
3 Tm 0.0000 0.5000 0.5000  2 C 2.38
4 Tm 0.5000 0.0000 0.5000  2 C 2.38
5 Pb 0.3580 0.3580 0.0000  5 Ho 3.22-3.37, 4 Tm 3.29
6 Pb 0.6420 0.6420 0.0000  5 Ho 3.22-3.37, 4 Tm 3.29
7 C 0.0000 0.0000 0.0000  4 Tm 2.38, 2 Ho 2.51



An optimized crystal structure of Mg6GaHg2. Source: the Alexandria database, functional PBE.

Values from the calculation:
Magnetic moment: 0.00 μB per formula unit
Formation energy: -0.17 eV per atom
Final energy: -1.64 eV/atom

Lattice parameters (Å, degrees): 3.9806 7.5410 7.5410 120.15 90.00 90.00
With the nearest neighbours (Å) after each atom.
Positions (direct):
1 Mg 0.0000 0.0000 0.0000  2 Ga 2.75, 2 Hg 2.87
2 Mg 0.0000 0.4966 0.7483  2 Ga 2.75, 2 Hg 2.87
3 Mg 0.0000 0.7483 0.4966  2 Ga 2.75, 2 Hg 2.87
4 Mg 0.5000 0.1429 0.7483  1 Ga 2.98, 4 Hg 3.05, 6 Mg 3.28-3.33
5 Mg 0.5000 0.3527 0.3527  1 Ga 2.97, 4 Hg 3.06, 6 Mg 3.28-3.32
6 Mg 0.5000 0.7483 0.1429  1 Ga 2.98, 4 Hg 3.05, 6 Mg 3.28-3.33
7 Ga 0.5000 0.7480 0.7480  9 Mg 2.75-2.98
8 Hg 0.0000 0.0814 0.4150  9 Mg 2.87-3.06
9 Hg 0.0000 0.4150 0.0814  9 Mg 2.87-3.06



An optimized crystal structure of Mn3AlH3. Source: the Alexandria database, functional PBE.

Values from the calculation:
Magnetic moment: 7.14 μB per formula unit
Final energy: -5.96 eV/atom

Lattice parameters (Å, degrees): 4.9290 4.9290 4.9290 90.00 90.00 90.00
With the nearest neighbours (Å) after each atom.
Positions (direct):
1 Mn 0.0000 0.2500 0.5000  4 H 1.74
2 Mn 0.0000 0.7500 0.5000  4 H 1.74
3 Mn 0.2500 0.5000 0.0000  4 H 1.74
4 Mn 0.5000 0.0000 0.2500  4 H 1.74
5 Mn 0.5000 0.0000 0.7500  4 H 1.74
6 Mn 0.7500 0.5000 0.0000  4 H 1.74
7 Al 0.0000 0.0000 0.0000  12 H 2.76, 12 Mn 2.76
8 Al 0.5000 0.5000 0.5000  12 H 2.76, 12 Mn 2.76
9 H 0.0000 0.5000 0.2500  4 Mn 1.74
10 H 0.0000 0.5000 0.7500  4 Mn 1.74
11 H 0.2500 0.0000 0.5000  4 Mn 1.74
12 H 0.5000 0.2500 0.0000  4 Mn 1.74
13 H 0.5000 0.7500 0.0000  4 Mn 1.74
14 H 0.7500 0.0000 0.5000  4 Mn 1.74



An optimized crystal structure of LiUBr4. Source: the Alexandria database, functional PBE.

Values from the calculation:
Magnetic moment: 1.45 μB per formula unit
Raw formation energy: -1.31 eV per atom
Final energy: -4.62 eV/atom

Lattice parameters (Å, degrees): 7.0747 7.0747 13.6093 90.00 90.00 120.00
With the nearest neighbours (Å) after each atom.
Positions (direct):
1 Li 0.0000 0.0000 0.0000  6 Br 2.78
2 Li 0.3333 0.6667 0.5000  6 Br 2.82
3 Li 0.6667 0.3333 0.5000  6 Br 2.82
4 U 0.0000 0.0000 0.5000  6 Br 2.83
5 U 0.3333 0.6667 0.0000  6 Br 2.92
6 U 0.6667 0.3333 0.0000  6 Br 2.92
7 Br 0.0000 0.3171 0.8793  1 Li 2.78, 2 U 2.92
8 Br 0.0000 0.3351 0.3861  2 Li 2.82, 1 U 2.83
9 Br 0.0000 0.6649 0.6139  2 Li 2.82, 1 U 2.83
10 Br 0.0000 0.6829 0.1207  1 Li 2.78, 2 U 2.92
11 Br 0.3171 0.0000 0.8793  1 Li 2.78, 2 U 2.92
12 Br 0.3171 0.3171 0.1207  1 Li 2.78, 2 U 2.92
13 Br 0.3351 0.0000 0.3861  2 Li 2.82, 1 U 2.83
14 Br 0.3351 0.3351 0.6139  2 Li 2.82, 1 U 2.83
15 Br 0.6649 0.0000 0.6139  2 Li 2.82, 1 U 2.83
16 Br 0.6649 0.6649 0.3861  2 Li 2.82, 1 U 2.83
17 Br 0.6829 0.0000 0.1207  1 Li 2.78, 2 U 2.92
18 Br 0.6829 0.6829 0.8793  1 Li 2.78, 2 U 2.92



An optimized crystal structure of LiPtSe2. Source: the Alexandria database, functional PBE.

Values from the calculation:
Magnetic moment: 0.00 μB per formula unit
Raw formation energy: -0.35 eV per atom
Final energy: -4.08 eV/atom

Lattice parameters (Å, degrees): 4.3139 4.3139 7.0775 90.00 90.00 129.88
With the nearest neighbours (Å) after each atom.
Positions (direct):
1 Li 0.0000 0.0000 0.0000  4 Se 2.66
2 Pt 0.0000 0.0000 0.5000  4 Se 2.44
3 Se 0.5000 0.5000 0.2724  2 Pt 2.44, 2 Li 2.66
4 Se 0.5000 0.5000 0.7276  2 Pt 2.44, 2 Li 2.66



An optimized crystal structure of Tb15Sm2Er2. Source: the Alexandria database, functional PBE.

Values from the calculation:
Magnetic moment: 0.01 μB per formula unit
Formation energy: 0.28 eV per atom
Final energy: -4.36 eV/atom

Lattice parameters (Å, degrees): 8.7337 8.7337 8.7337 79.62 79.62 79.62
With the nearest neighbours (Å) after each atom.
Positions (direct):
1 Tb 0.0000 0.0000 0.5000  8 Tb 3.34-3.39, 2 Er 3.47
2 Tb 0.0000 0.2965 0.7035  6 Tb 3.31-3.39
3 Tb 0.0000 0.5000 0.0000  8 Tb 3.34-3.39, 2 Er 3.47
4 Tb 0.0000 0.7035 0.2965  6 Tb 3.31-3.39
5 Tb 0.1496 0.6289 0.6289  6 Tb 3.28-3.34
6 Tb 0.2965 0.0000 0.7035  6 Tb 3.31-3.39
7 Tb 0.2965 0.7035 0.0000  6 Tb 3.31-3.39
8 Tb 0.3711 0.3711 0.8504  6 Tb 3.28-3.34
9 Tb 0.3711 0.8504 0.3711  6 Tb 3.28-3.34
10 Tb 0.5000 0.0000 0.0000  8 Tb 3.34-3.39, 2 Er 3.47
11 Tb 0.6289 0.1496 0.6289  6 Tb 3.28-3.34
12 Tb 0.6289 0.6289 0.1496  6 Tb 3.28-3.34
13 Tb 0.7035 0.0000 0.2965  6 Tb 3.31-3.39
14 Tb 0.7035 0.2965 0.0000  6 Tb 3.31-3.39
15 Tb 0.8504 0.3711 0.3711  6 Tb 3.28-3.34
16 Sm 0.3231 0.3231 0.3231  15 Tb 3.95-4.25, 1 Er 4.02
17 Sm 0.6769 0.6769 0.6769  15 Tb 3.95-4.25, 1 Er 4.02
18 Er 0.0952 0.0952 0.0952  1 Er 3.36, 9 Tb 3.47-3.72
19 Er 0.9048 0.9048 0.9048  1 Er 3.36, 9 Tb 3.47-3.72



An optimized crystal structure of HfVZn2Fe. Source: the Alexandria database, functional PBE.

Values from the calculation:
Magnetic moment: 1.15 μB per formula unit
Formation energy: 0.46 eV per atom
Final energy: -5.56 eV/atom

Lattice parameters (Å, degrees): 4.5161 4.5161 4.1216 90.00 90.00 90.00
With the nearest neighbours (Å) after each atom.
Positions (direct):
1 Hf 0.0000 0.0000 0.0000  8 Zn 3.06, 4 V 3.19
2 V 0.5000 0.5000 0.0000  2 Fe 2.06
3 Zn 0.0000 0.5000 0.5000  2 Fe 2.26
4 Zn 0.5000 0.0000 0.5000  2 Fe 2.26
5 Fe 0.5000 0.5000 0.5000  2 V 2.06, 4 Zn 2.26



An optimized crystal structure of CaTcBr2. Source: the Alexandria database, functional PBE.

Values from the calculation:
Magnetic moment: 3.16 μB per formula unit
Raw formation energy: -0.09 eV per atom
Final energy: -4.02 eV/atom

Lattice parameters (Å, degrees): 4.9509 4.9509 3.6601 90.00 90.00 90.00
With the nearest neighbours (Å) after each atom.
Positions (direct):
1 Ca 0.0000 0.0000 0.0000  8 Br 3.08
2 Tc 0.5000 0.5000 0.0000  8 Br 3.08
3 Br 0.0000 0.5000 0.5000  4 Tc 3.08, 4 Ca 3.08
4 Br 0.5000 0.0000 0.5000  4 Tc 3.08, 4 Ca 3.08



An optimized crystal structure of VBH. Source: the Alexandria database, functional PBE.

Values from the calculation:
Magnetic moment: 0.00 μB per formula unit
Final energy: -6.36 eV/atom

Lattice parameters (Å, degrees): 2.9039 2.9039 3.0372 90.00 90.00 120.00
With the nearest neighbours (Å) after each atom.
Positions (direct):
1 V 0.0000 0.0000 0.0000  3 H 1.76
2 B 0.3333 0.6667 0.4978  3 H 1.95
3 H 0.6667 0.3333 0.8232  3 V 1.76, 3 B 1.95



An optimized crystal structure of NiRu2. Source: the Alexandria database, functional PBE.

Values from the calculation:
Magnetic moment: 0.00 μB per formula unit
Formation energy: 0.10 eV per atom
Final energy: -8.01 eV/atom

Lattice parameters (Å, degrees): 4.6104 4.6104 5.2520 106.77 106.77 47.56
With the nearest neighbours (Å) after each atom.
Positions (direct):
1 Ni 0.1698 0.1698 0.0816  3 Ni 2.60-2.72, 9 Ru 2.61-2.68
2 Ni 0.8302 0.8302 0.9184  3 Ni 2.60-2.72, 9 Ru 2.61-2.68
3 Ru 0.1661 0.1661 0.5831  4 Ni 2.61-2.64, 8 Ru 2.63-2.68
4 Ru 0.4952 0.4952 0.7550  7 Ru 2.55-2.70, 5 Ni 2.62-2.68
5 Ru 0.5048 0.5048 0.2450  7 Ru 2.55-2.70, 5 Ni 2.62-2.68
6 Ru 0.8339 0.8339 0.4169  4 Ni 2.61-2.64, 8 Ru 2.63-2.68



An optimized crystal structure of Nd6CN3O2. Source: the Alexandria database, functional PBE.

Values from the calculation:
Magnetic moment: 0.00 μB per formula unit
Raw formation energy: -1.69 eV per atom
Final energy: -7.75 eV/atom

Lattice parameters (Å, degrees): 6.3172 6.3172 6.3286 99.58 99.58 120.01
With the nearest neighbours (Å) after each atom.
Positions (direct):
1 Nd 0.0848 0.4159 0.7553  3 N 2.56-2.60, 1 C 2.59, 2 O 2.60-2.61
2 Nd 0.2463 0.2463 0.2458  3 N 2.54-2.58, 1 C 2.58, 2 O 2.60
3 Nd 0.4159 0.0848 0.7553  3 N 2.56-2.60, 1 C 2.59, 2 O 2.60-2.61
4 Nd 0.5841 0.9152 0.2447  3 N 2.56-2.60, 1 C 2.59, 2 O 2.60-2.61
5 Nd 0.7537 0.7537 0.7542  3 N 2.54-2.58, 1 C 2.58, 2 O 2.60
6 Nd 0.9152 0.5841 0.2447  3 N 2.56-2.60, 1 C 2.59, 2 O 2.60-2.61
7 C 0.0000 0.0000 0.5000  6 Nd 2.58-2.59
8 N 0.1639 0.8361 0.0000  6 Nd 2.54-2.60
9 N 0.5000 0.5000 0.0000  6 Nd 2.56-2.58
10 N 0.8361 0.1639 0.0000  6 Nd 2.54-2.60
11 O 0.3331 0.6669 0.5000  6 Nd 2.60-2.61
12 O 0.6669 0.3331 0.5000  6 Nd 2.60-2.61



An optimized crystal structure of BaTmGe2. Source: the Alexandria database, functional PBE.

Values from the calculation:
Magnetic moment: 0.00 μB per formula unit
Formation energy: -0.43 eV per atom
Final energy: -4.34 eV/atom

Lattice parameters (Å, degrees): 6.9170 6.9170 6.9170 39.74 39.74 39.74
With the nearest neighbours (Å) after each atom.
Positions (direct):
1 Ba 0.0000 0.0000 0.0000  6 Ge 3.46
2 Tm 0.5000 0.5000 0.5000  6 Ge 2.91
3 Ge 0.2213 0.2213 0.2213  3 Tm 2.91
4 Ge 0.7787 0.7787 0.7787  3 Tm 2.91